Entry from Alexandria: ScIn2AsF after structural relaxation (PBE).

The structure in extended XYZ format:
```
5
Lattice="5.445 0.000 0.000 0.000 5.445 0.000 0.000 0.000 5.055" Properties=species:S:1:pos:R:3 pbc="T T T"
Sc 0.000 0.000 0.000
In 0.000 2.722 2.527
In 2.722 0.000 2.527
As 0.000 0.000 2.527
F 2.722 2.722 0.000
```

Computed properties:
Mass density ... 4.08 g/cm³
Space-group type ... P4/mmm (123)
E_form (uncorrected) ... -0.17 eV/atom
Fermi-level density of states ... 5.0 states/eV/cell